No. 1
6
Lattice="5.328 0.000 0.000 -2.664 4.672 -0.232 0.000 0.338 7.591" Properties=species:S:1:pos:R:3 comment="KSn5, optimized geometry, DFT PBE" crystal_system=monoclinic energy_ev_per_atom=-3.600 pbc="T T T"
Sn 2.664 3.190 1.069
K 2.664 0.169 3.795
Sn 2.664 3.380 5.671
Sn 2.664 0.000 0.000
Sn 0.000 1.630 1.687
Sn 0.000 1.821 6.289



No. 2
6
Lattice="4.383 0.000 0.000 0.000 5.373 0.000 0.000 -2.687 7.435" Properties=species:S:1:pos:R:3 comment="KSn5, optimized geometry, DFT PBE" crystal_system=orthorhombic energy_ev_per_atom=-3.503 pbc="T T T"
Sn 2.192 2.687 0.000
Sn 2.192 2.687 4.737
Sn 2.192 0.000 2.697
Sn 0.000 2.687 2.435
K 0.000 0.000 0.000
Sn 0.000 0.000 5.000



No. 3
7
Lattice="7.098 0.000 0.000 -2.366 6.692 0.000 -2.366 -3.346 5.795" Properties=species:S:1:pos:R:3 comment="KSn6, optimized geometry, DFT PBE" crystal_system=cubic energy_ev_per_atom=-3.609 polymorph_energy_mev_per_atom=0 pbc="T T T"
K 0.000 0.000 0.000
Sn 3.549 0.000 2.898
Sn 1.183 4.182 1.449
Sn -1.183 3.346 2.898
Sn 3.549 2.509 1.449
Sn -1.183 0.836 4.347
Sn 1.183 -0.836 4.347



No. 4
3
Lattice="-0.948 5.365 2.650 -3.618 4.083 -2.635 -5.406 1.268 2.424" Properties=species:S:1:pos:R:3 comment="K2Sn, optimized geometry, DFT PBE" crystal_system=cubic energy_ev_per_atom=-2.001 polymorph_energy_mev_per_atom=210 pbc="T T T"
K -7.479 8.037 1.829
K -2.493 2.679 0.610
Sn 0.000 0.000 0.000



No. 5
7
Lattice="-3.270 -5.899 -4.386 7.060 -2.463 2.969 -4.943 1.893 6.059" Properties=species:S:1:pos:R:3 comment="K6Sn, optimized geometry, DFT PBE" crystal_system=cubic energy_ev_per_atom=-0.828 pbc="T T T"
K -0.995 -1.287 4.932
K 2.006 -2.376 4.160
K -3.159 -4.094 0.482
K 2.424 -4.324 1.548
K -0.158 -5.183 -0.290
K -3.577 -2.146 3.093
Sn 0.000 0.000 0.000



No. 6
3
Lattice="4.474 0.000 0.000 0.000 4.474 0.000 -2.237 -2.237 6.189" Properties=species:S:1:pos:R:3 comment="K2Sn, optimized geometry, DFT PBE" crystal_system=tetragonal energy_ev_per_atom=-2.078 polymorph_energy_mev_per_atom=133 pbc="T T T"
K 0.000 0.000 4.307
Sn 0.000 0.000 0.000
K 2.237 2.237 1.882



No. 7
18
Lattice="-4.390 1.573 -4.805 7.451 -2.097 -7.494 -3.265 -10.259 -0.376" Properties=species:S:1:pos:R:3 comment="KSr4Sn4, optimized geometry, DFT PBE" crystal_system=tetragonal energy_ev_per_atom=-3.064 pbc="T T T"
K 0.000 0.000 0.000
K -0.102 -5.391 -6.337
Sr -2.032 -9.310 -4.684
Sr 2.931 -1.869 -6.782
Sn -0.366 -3.047 -1.824
Sr -1.336 -6.341 -2.029
Sr -2.076 -8.512 -9.048
Sn 0.263 -2.344 -4.513
Sn -3.264 -6.129 -4.851
Sn 0.624 -8.830 -6.966
Sr 1.769 -7.662 -9.964
Sn 1.967 -4.262 -9.019
Sn 0.991 -1.652 -9.617
Sr 4.417 -5.620 -7.049
Sr -3.078 -2.725 -3.919
Sn 3.459 -8.917 -7.241
Sn -4.494 -7.948 -6.667
Sr -1.415 -1.093 -7.223



No. 8
3
Lattice="-1.353 1.525 3.236 -5.123 -2.291 -1.063 3.873 -2.934 3.002" Properties=species:S:1:pos:R:3 comment="KSrSn, optimized geometry, DFT PBE" crystal_system=trigonal energy_ev_per_atom=-2.454 pbc="T T T"
Sr 0.464 -2.257 2.630
K -0.028 0.032 0.067
Sn -3.038 -1.475 2.479



No. 9
5
Lattice="5.827 0.000 0.000 0.000 5.827 0.000 0.000 0.000 5.827" Properties=species:S:1:pos:R:3 comment="KSrSn3, optimized geometry, DFT PBE" crystal_system=cubic energy_ev_per_atom=-2.413 polymorph_energy_mev_per_atom=877 pbc="T T T"
Sr 2.913 2.913 2.913
Sn 2.913 0.000 0.000
Sn 0.000 2.913 0.000
Sn 0.000 0.000 2.913
K 0.000 0.000 0.000



No. 10
5
Lattice="6.833 0.000 0.000 0.000 6.833 0.000 0.000 0.000 6.833" Properties=species:S:1:pos:R:3 comment="K3SrSn, optimized geometry, DFT PBE" crystal_system=cubic energy_ev_per_atom=-1.626 polymorph_energy_mev_per_atom=0 pbc="T T T"
K 0.000 3.417 0.000
Sr 3.417 3.417 3.417
Sn 0.000 0.000 0.000
K 3.417 0.000 0.000
K 0.000 0.000 3.417



No. 11
11
Lattice="1.168 6.179 0.959 1.056 1.296 -6.615 -9.037 -2.093 1.885" Properties=species:S:1:pos:R:3 comment="KSr2Sn8, optimized geometry, DFT PBE" crystal_system=monoclinic energy_ev_per_atom=-3.603 pbc="T T T"
Sn 0.830 2.221 -3.106
Sn 1.394 5.254 -2.550
Sn -5.133 4.503 -1.958
Sn -3.894 1.565 -3.833
K 0.584 3.089 0.479
Sn -1.196 1.232 -5.270
Sr -1.890 4.360 -3.185
Sr -4.924 1.022 -0.586
Sn -2.920 3.817 0.062
Sn -5.618 4.149 1.499
Sn -1.681 0.879 -1.813



No. 12
5
Lattice="6.544 0.000 0.000 0.000 6.544 0.000 0.000 0.000 6.544" Properties=species:S:1:pos:R:3 comment="KSr3Sn, optimized geometry, DFT PBE" crystal_system=cubic energy_ev_per_atom=-2.219 polymorph_energy_mev_per_atom=0 pbc="T T T"
Sr 3.272 0.000 0.000
Sr 0.000 0.000 3.272
Sn 0.000 0.000 0.000
Sr 0.000 3.272 0.000
K 3.272 3.272 3.272



No. 13
10
Lattice="-1.036 7.505 4.467 -1.001 -4.570 7.447 7.005 0.298 1.124" Properties=species:S:1:pos:R:3 comment="K2Sr2Sn, optimized geometry, DFT PBE" crystal_system=tetragonal energy_ev_per_atom=-1.980 polymorph_energy_mev_per_atom=0 pbc="T T T"
K 2.991 1.763 3.323
Sr -1.181 -1.304 7.706
Sr -1.530 3.218 8.684
Sr -0.855 4.239 4.208
Sn -1.018 1.467 5.957
K 2.327 4.849 6.642
K 2.642 -1.617 6.395
Sn 0.000 0.000 0.000
K 1.978 1.469 9.714
Sr -0.506 -0.284 3.230



No. 14
8
Lattice="-1.183 -0.241 4.932 3.157 -3.937 0.565 11.129 6.455 5.597" Properties=species:S:1:pos:R:3 comment="K2SrSn, optimized geometry, DFT PBE" crystal_system=tetragonal energy_ev_per_atom=-1.974 pbc="T T T"
K 4.640 -0.870 2.234
Sn 0.000 0.000 0.000
Sr 0.987 -2.089 2.749
Sn 5.467 2.063 6.639
K 10.162 1.078 9.024
K 9.001 3.383 6.244
K 2.406 0.965 4.688
Sr 7.637 0.215 4.455



No. 15
5
Lattice="-5.708 -1.716 -2.357 0.771 -5.885 2.419 -2.812 1.871 5.447" Properties=species:S:1:pos:R:3 comment="KSr3Sn, optimized geometry, DFT PBE" crystal_system=cubic energy_ev_per_atom=-1.277 polymorph_energy_mev_per_atom=942 pbc="T T T"
K 0.000 0.000 0.000
Sr 0.385 -2.942 1.210
Sr -1.406 0.935 2.724
Sr -2.854 -0.858 -1.178
Sn -3.874 -2.865 2.755



No. 16
10
Lattice="-2.216 3.971 -0.771 -1.733 -1.860 -4.598 -11.435 -4.598 9.173" Properties=species:S:1:pos:R:3 comment="KSrSn3, optimized geometry, DFT PBE" crystal_system=orthorhombic energy_ev_per_atom=-3.290 polymorph_energy_mev_per_atom=0 pbc="T T T"
Sr -6.647 0.738 2.207
Sr -8.737 -3.226 1.596
Sn -5.972 -1.983 0.051
Sn -3.204 1.744 -2.500
K -2.411 0.158 0.845
Sn -9.412 -0.505 3.752
Sn -9.780 -3.154 4.963
K -12.973 -2.646 2.959
Sn -5.604 0.666 -1.159
Sn -12.179 -4.232 6.303



No. 17
10
Lattice="9.175 0.000 0.000 0.000 9.175 0.000 0.000 0.000 4.497" Properties=species:S:1:pos:R:3 comment="KSr2Sn2, optimized geometry, DFT PBE" crystal_system=tetragonal energy_ev_per_atom=-2.942 polymorph_energy_mev_per_atom=0 pbc="T T T"
K 4.588 4.588 0.000
K 0.000 0.000 0.000
Sn 3.522 8.110 0.000
Sr 3.010 1.578 2.248
Sn 8.110 5.653 0.000
Sn 1.065 3.522 0.000
Sn 5.653 1.065 0.000
Sr 7.598 3.010 2.248
Sr 1.578 6.165 2.248
Sr 6.165 7.598 2.248



No. 18
5
Lattice="6.137 0.000 0.000 0.000 6.137 0.000 0.000 0.000 6.137" Properties=species:S:1:pos:R:3 comment="KSrSn3, optimized geometry, DFT PBE" crystal_system=cubic energy_ev_per_atom=-2.540 polymorph_energy_mev_per_atom=750 pbc="T T T"
Sr 0.000 0.000 0.000
Sn 0.000 0.000 3.068
Sn 0.000 3.068 0.000
Sn 3.068 0.000 0.000
K 3.068 3.068 3.068



No. 19
26
Lattice="6.196 0.000 0.000 0.000 9.120 0.000 0.000 0.000 18.762" Properties=species:S:1:pos:R:3 comment="K2SrSn10, optimized geometry, DFT PBE" crystal_system=orthorhombic energy_ev_per_atom=-3.447 pbc="T T T"
Sn 4.546 6.733 16.604
Sn 4.546 2.387 2.158
Sn 0.000 4.720 6.091
Sn 4.546 6.947 7.223
Sn 0.000 3.162 18.432
Sn 0.000 4.495 15.593
Sn 1.649 6.733 16.604
Sn 0.000 4.625 3.170
Sr 0.000 4.560 9.381
Sn 0.000 8.960 15.472
Sn 0.000 0.065 6.212
Sn 1.649 2.173 11.540
Sn 0.000 4.400 12.672
K 3.098 6.874 3.505
Sn 0.000 9.055 12.551
K 3.098 6.806 12.886
Sn 0.000 0.160 3.290
Sn 0.000 5.958 0.330
K 3.098 2.246 15.258
Sn 1.649 6.947 7.223
Sn 1.649 2.387 2.158
Sr 0.000 0.000 0.000
K 3.098 2.314 5.877
Sn 0.000 1.398 9.051
Sn 0.000 7.722 9.711
Sn 4.546 2.173 11.540



No. 20
4
Lattice="-0.060 0.786 3.882 -3.460 0.364 1.894 -1.092 -13.975 4.832" Properties=species:S:1:pos:R:3 comment="K2SrSn, optimized geometry, DFT PBE" crystal_system=trigonal energy_ev_per_atom=-1.700 pbc="T T T"
K -1.111 -10.573 4.144
Sn 0.000 0.000 0.000
K -3.500 -2.252 6.464
Sr -2.306 -6.413 5.304